The following is a DFT calculation (GGA-PBE) of an optimized crystal structure of Sc4InAg2.

Values from the calculation:
- Formation energy from the elements: -0.167 eV per atom
- Energy: -34.9 eV/cell
- SG: No. 166

Geometry as extended XYZ:
```
7
Lattice="2.428 1.402 7.665 -2.428 1.402 7.665 0.000 -2.804 7.665" Properties=species:S:1:pos:R:3 pbc="T T T"
Sc 0.000 0.000 2.517
Sc 0.000 0.000 8.439
Sc 0.000 0.000 14.555
Sc 0.000 0.000 20.477
In 0.000 0.000 11.497
Ag 0.000 0.000 5.563
Ag 0.000 0.000 17.431
```

=====

The following is a DFT calculation (GGA-PBE) of an optimized crystal structure of Sc2InAg.

Values from the calculation:
- Formation energy from the elements: -0.225 eV per atom
- Energy: -38.3 eV/cell
- SG: No. 119

Geometry as extended XYZ:
```
8
Lattice="4.263 0.000 0.000 0.000 4.263 0.000 0.000 0.000 9.482" Properties=species:S:1:pos:R:3 pbc="T T T"
Sc 0.000 0.000 0.000
Sc 0.000 2.132 2.371
Sc 2.132 0.000 7.112
Sc 2.132 2.132 4.741
In 0.000 0.000 4.741
In 2.132 2.132 0.000
Ag 0.000 2.132 7.112
Ag 2.132 0.000 2.371
```

=====

The following is a DFT calculation (GGA-PBE) of an optimized crystal structure of ScIn2Ag.

Values from the calculation:
- Formation energy from the elements: -0.209 eV per atom
- Energy: -15.5 eV/cell
- SG: No. 10

Geometry as extended XYZ:
```
4
Lattice="3.186 0.000 0.000 0.000 4.685 0.000 -0.039 0.000 6.038" Properties=species:S:1:pos:R:3 pbc="T T T"
Sc 0.000 0.000 0.000
In 1.549 2.343 4.576
In 1.597 2.343 1.463
Ag 1.573 0.000 3.019
```

=====

The following is a DFT calculation (GGA-PBE) of an optimized crystal structure of Sc2InAg2.

Values from the calculation:
- Formation energy from the elements: -0.014 eV per atom
- Energy: -42.4 eV/cell
- SG: No. 139

Geometry as extended XYZ:
```
10
Lattice="3.777 0.000 0.000 0.000 3.777 0.000 0.000 0.000 16.048" Properties=species:S:1:pos:R:3 pbc="T T T"
Sc 0.000 0.000 1.670
Sc 0.000 0.000 14.378
Sc 1.888 1.888 6.354
Sc 1.888 1.888 9.694
In 0.000 0.000 8.024
In 1.888 1.888 0.000
Ag 0.000 1.888 4.012
Ag 0.000 1.888 12.036
Ag 1.888 0.000 4.012
Ag 1.888 0.000 12.036
```

=====

The following is a DFT calculation (GGA-PBE) of an optimized crystal structure of ScInAg.

Values from the calculation:
- Formation energy from the elements: -0.165 eV per atom
- Energy: -37.2 eV/cell
- SG: No. 160

Geometry as extended XYZ:
```
9
Lattice="5.096 0.000 0.000 -2.548 4.413 0.000 0.000 0.000 8.893" Properties=species:S:1:pos:R:3 pbc="T T T"
Sc 0.000 0.000 0.000
Sc 0.000 2.942 5.929
Sc 2.548 1.471 2.964
In 0.000 0.000 3.212
In 0.000 2.942 0.247
In 2.548 1.471 6.176
Ag 0.000 0.000 6.053
Ag 0.000 2.942 3.088
Ag 2.548 1.471 0.124
```

=====

The following is a DFT calculation (GGA-PBE) of an optimized crystal structure of Sc2InAg.

Values from the calculation:
- Formation energy from the elements: -0.267 eV per atom
- Energy: -38.6 eV/cell
- SG: No. 8

Geometry as extended XYZ:
```
8
Lattice="11.349 0.000 0.000 0.000 3.478 0.000 -2.090 0.000 4.420" Properties=species:S:1:pos:R:3 pbc="T T T"
Sc 0.000 0.000 0.000
Sc 1.086 0.000 3.222
Sc 5.675 1.739 0.000
Sc 6.760 1.739 3.222
In 2.486 1.739 1.178
In 8.161 0.000 1.178
Ag 4.561 0.000 2.181
Ag 10.236 1.739 2.181
```

=====

- Among the records above, which one has the lowest formation energy from the elements?
  number 6

=====

- Look up the energy of the third one.
  -15.5 eV/cell

=====

- The lowest formation energy from the elements belongs to which entry?
  number 6

=====

- formation energy from the elements of number 3 (ScIn2Ag)?
  -0.209 eV per atom